# 1
VASP calculation (PBE) on LiSiS2N after structural relaxation.

Calculated values
formation energy (no corrections): -13 meV/atom
spin magnetization: 0.00 μB/f.u.
energy above the lowest structure with this stoichiometry: 0 meV per atom
N(E_F): 4.51 states/eV per cell

Lattice parameters (Å, degrees): 4.9282 4.9282 3.2480 90.00 90.00 90.00
Closest atoms and distances in Å follow each position.
Space group P4/mmm (No. 123)
Unique sites:
Li 0.0000 0.0000 0.0000 (multiplicity 1)  8 S 2.95, 2 Li 3.25
Si 0.5000 0.5000 0.5000 (multiplicity 1)  2 N 1.62
S 0.0000 0.5000 0.5000 (multiplicity 2)  2 Si 2.46
N 0.5000 0.5000 0.0000 (multiplicity 1)  2 Si 1.62

***

# 2
VASP calculation (PBE) on LiSiS2N after structural relaxation.

Calculated values
formation energy (no corrections): 1101 meV/atom
spin magnetization: 0.00 μB/f.u.
energy above the lowest structure with this stoichiometry: 1114 meV per atom
N(E_F): 4.37 states/eV per cell

Lattice parameters (Å, degrees): 4.5157 4.5157 3.5044 90.00 90.00 90.00
Closest atoms and distances in Å follow each position.
Space group P4/mmm (No. 123)
Unique sites:
Li 0.0000 0.0000 0.0000 (multiplicity 1)  2 N 1.75
Si 0.5000 0.5000 0.5000 (multiplicity 1)  8 S 2.86, 4 N 3.19
S 0.0000 0.5000 0.0000 (multiplicity 2)  2 Li 2.26
N 0.0000 0.0000 0.5000 (multiplicity 1)  2 Li 1.75

***

# 3
VASP calculation (PBE) on LiSiSN2 after structural relaxation.

Calculated values
formation energy (no corrections): 1644 meV/atom
spin magnetization: 1.91 μB/f.u.
energy above the lowest structure with this stoichiometry: 1428 meV per atom
N(E_F): 2.95 states/eV per cell

Lattice parameters (Å, degrees): 3.5843 3.5843 4.9062 90.00 90.00 90.00
Closest atoms and distances in Å follow each position.
Space group P4/mmm (No. 123)
Unique sites:
Li 0.0000 0.0000 0.0000 (multiplicity 1)  4 N 1.79
Si 0.5000 0.5000 0.5000 (multiplicity 1)  4 S 2.53
S 0.0000 0.0000 0.5000 (multiplicity 1)  2 Li 2.45, 4 Si 2.53
N 0.0000 0.5000 0.0000 (multiplicity 2)  2 Li 1.79

***

# 4
VASP calculation (PBE) on Li2SmSN after structural relaxation.

Calculated values
formation energy (no corrections): -1165 meV/atom
spin magnetization: 0.00 μB/f.u.
N(E_F): 5.45 states/eV per cell

Lattice parameters (Å, degrees): 5.7445 5.7445 9.4851 90.00 90.00 90.00
Closest atoms and distances in Å follow each position.
Space group I4/mcm (No. 140)
Unique sites:
Li 0.1796 0.3204 0.0000 (multiplicity 8)  2 N 2.11
Sm 0.0000 0.0000 0.2500 (multiplicity 4)  2 N 2.37
S 0.0000 0.5000 0.2500 (multiplicity 4)  4 Li 2.78, 4 Sm 2.87
N 0.0000 0.0000 0.0000 (multiplicity 4)  4 Li 2.11

***

# 5
VASP calculation (PBE) on LiSnS2N after structural relaxation.

Calculated values
formation energy (no corrections): 408 meV/atom
spin magnetization: 1.76 μB/f.u.
energy above the lowest structure with this stoichiometry: 0 meV per atom
N(E_F): 1.53 states/eV per cell

Lattice parameters (Å, degrees): 5.0850 5.0850 4.1773 90.00 90.00 90.00
Closest atoms and distances in Å follow each position.
Space group P4/mmm (No. 123)
Unique sites:
Li 0.0000 0.0000 0.0000 (multiplicity 1)  8 S 3.29, 4 N 3.60
Sn 0.5000 0.5000 0.5000 (multiplicity 1)  2 N 2.09
S 0.0000 0.5000 0.5000 (multiplicity 2)  2 Sn 2.54
N 0.5000 0.5000 0.0000 (multiplicity 1)  2 Sn 2.09

***

# 6
VASP calculation (PBE) on LiSnS2N after structural relaxation.

Calculated values
formation energy (no corrections): 706 meV/atom
spin magnetization: 3.18 μB/f.u.
energy above the lowest structure with this stoichiometry: 298 meV per atom
N(E_F): 4.05 states/eV per cell

Lattice parameters (Å, degrees): 4.7431 4.7431 3.9179 90.00 90.00 90.00
Closest atoms and distances in Å follow each position.
Space group P4/mmm (No. 123)
Unique sites:
Li 0.0000 0.0000 0.0000 (multiplicity 1)  2 N 1.96
Sn 0.5000 0.5000 0.5000 (multiplicity 1)  8 S 3.08, 4 N 3.35
S 0.0000 0.5000 0.0000 (multiplicity 2)  2 Li 2.37
N 0.0000 0.0000 0.5000 (multiplicity 1)  2 Li 1.96

***

# 7
VASP calculation (PBE) on SrLiSN2 after structural relaxation.

Calculated values
formation energy (no corrections): 1056 meV/atom
spin magnetization: 4.96 μB/f.u.
energy above the lowest structure with this stoichiometry: 467 meV per atom
N(E_F): 4.32 states/eV per cell

Lattice parameters (Å, degrees): 4.9358 4.9358 5.8264 90.00 90.00 90.00
Closest atoms and distances in Å follow each position.
Space group P4/mmm (No. 123)
Unique sites:
Sr 0.0000 0.0000 0.0000 (multiplicity 1)  4 N 2.47
Li 0.5000 0.5000 0.5000 (multiplicity 1)  4 S 3.49, 8 N 3.82
S 0.0000 0.0000 0.5000 (multiplicity 1)  2 Sr 2.91
N 0.0000 0.5000 0.0000 (multiplicity 2)  2 Sr 2.47

***

# 8
VASP calculation (PBE) on SrLiSN2 after structural relaxation.

Calculated values
formation energy (no corrections): 589 meV/atom
spin magnetization: 4.97 μB/f.u.
energy above the lowest structure with this stoichiometry: 0 meV per atom
N(E_F): 2.48 states/eV per cell

Lattice parameters (Å, degrees): 4.2816 4.2816 4.6619 90.00 90.00 90.00
Closest atoms and distances in Å follow each position.
Space group P4/mmm (No. 123)
Unique sites:
Sr 0.0000 0.0000 0.0000 (multiplicity 1)  4 S 3.03, 8 N 3.16
Li 0.5000 0.5000 0.5000 (multiplicity 1)  4 N 2.14, 2 S 2.33
S 0.5000 0.5000 0.0000 (multiplicity 1)  2 Li 2.33
N 0.0000 0.5000 0.5000 (multiplicity 2)  2 Li 2.14

***

formation energy (no corrections) of number 1 (LiSiS2N)? -13 meV/atom

***

The highest N(E_F) belongs to which entry? Li2SmSN

***

Among the records above, which one has the highest formation energy (no corrections)? LiSiSN2